A geometry-optimized KIr3W structure. Source: Alexandria via LeMat-Bulk, functional GGA-PBE.

Results
Polymorph energy (0 for the lowest one) ... 2163.8 meV per atom
Total energy ... -4.7171 eV/atom
DOS(E_F) ... 2.521 states/eV per atom

Structure (POSCAR):
```
KIr3W
1.0
4.554 0.000 0.000
0.000 4.554 0.000
0.000 0.000 4.554
K Ir W
1 3 1
direct
0.000 0.000 0.000
0.000 0.000 0.500
0.000 0.500 0.000
0.500 0.000 0.000
0.500 0.500 0.500
```

***

A geometry-optimized KIr3W structure. Source: Alexandria via LeMat-Bulk, functional GGA-PBE.

Results
Polymorph energy (0 for the lowest one) ... 0.0 meV per atom
Total energy ... -6.8810 eV/atom
DOS(E_F) ... 0.538 states/eV per atom

Structure (POSCAR):
```
KIr3W
1.0
4.849 0.000 0.000
0.000 4.849 0.000
0.000 0.000 4.849
K Ir W
1 3 1
direct
0.000 0.000 0.000
0.000 0.500 0.500
0.500 0.000 0.500
0.500 0.500 0.000
0.500 0.500 0.500
```

***

A geometry-optimized K4IrW structure. Source: Alexandria via LeMat-Bulk, functional GGA-PBE.

Results
Total energy ... -2.5934 eV/atom
DOS(E_F) ... 0.784 states/eV per atom

Structure (POSCAR):
```
K4IrW
1.0
0.000 4.487 4.487
4.487 0.000 4.487
4.487 4.487 0.000
K Ir W
4 1 1
direct
0.376 0.376 0.376
0.376 0.376 0.872
0.376 0.872 0.376
0.872 0.376 0.376
0.750 0.750 0.750
0.000 0.000 0.000
```

***

A geometry-optimized KIr4W structure. Source: Alexandria via LeMat-Bulk, functional GGA-PBE.

Results
Total energy ... -7.5693 eV/atom
DOS(E_F) ... 0.819 states/eV per atom

Structure (POSCAR):
```
KIr4W
1.0
0.000 3.713 3.713
3.713 0.000 3.713
3.713 3.713 0.000
K Ir W
1 4 1
direct
0.000 0.000 0.000
0.375 0.375 0.375
0.375 0.375 0.875
0.375 0.875 0.375
0.875 0.375 0.375
0.750 0.750 0.750
```

***

A geometry-optimized KYIrW2 structure. Source: Alexandria via LeMat-Bulk, functional GGA-PBE.

Results
Total energy ... -5.8440 eV/atom
DOS(E_F) ... 1.660 states/eV per atom

Structure (POSCAR):
```
KYIrW2
1.0
5.134 0.000 0.000
0.000 5.134 0.000
0.000 0.000 5.111
K Y Ir W
1 1 1 2
direct
0.000 0.000 0.000
0.500 0.500 0.500
0.500 0.500 0.000
0.000 0.500 0.500
0.500 0.000 0.500
```

***

A geometry-optimized K2YIr structure. Source: Alexandria via LeMat-Bulk, functional GGA-PBE.

Results
Polymorph energy (0 for the lowest one) ... 86.7 meV per atom
Total energy ... -4.2798 eV/atom
DOS(E_F) ... 0.503 states/eV per atom

Structure (POSCAR):
```
K2YIr
1.0
7.261 0.000 0.000
0.000 4.183 0.000
-2.296 0.000 11.106
K Y Ir
4 2 2
direct
0.000 0.000 0.000
0.198 0.000 0.623
0.500 0.500 0.000
0.698 0.500 0.623
0.430 0.000 0.304
0.930 0.500 0.304
0.228 0.500 0.194
0.728 0.000 0.194
```

***

A geometry-optimized K2YIr structure. Source: Alexandria via LeMat-Bulk, functional GGA-PBE.

Results
Polymorph energy (0 for the lowest one) ... 730.1 meV per atom
Total energy ... -3.6364 eV/atom
DOS(E_F) ... 0.872 states/eV per atom

Structure (POSCAR):
```
K2YIr
1.0
3.558 0.000 0.000
0.000 5.722 0.000
0.000 0.000 5.883
K Y Ir
2 1 1
direct
0.000 0.235 0.000
0.000 0.765 0.000
0.500 0.500 0.500
0.500 0.000 0.500
```

***

A geometry-optimized K2YIr structure. Source: Alexandria via LeMat-Bulk, functional GGA-PBE.

Results
Polymorph energy (0 for the lowest one) ... 0.0 meV per atom
Total energy ... -4.3665 eV/atom
DOS(E_F) ... 0.581 states/eV per atom

Structure (POSCAR):
```
K2YIr
1.0
3.657 0.000 0.000
0.000 3.657 0.000
0.000 0.000 11.274
K Y Ir
2 1 1
direct
0.000 0.000 0.000
0.500 0.500 0.374
0.000 0.000 0.686
0.500 0.500 0.787
```

***

A geometry-optimized KYIr structure. Source: Alexandria via LeMat-Bulk, functional GGA-PBE.

Results
Polymorph energy (0 for the lowest one) ... 0.0 meV per atom
Total energy ... -5.5294 eV/atom
DOS(E_F) ... 0.392 states/eV per atom

Structure (POSCAR):
```
KYIr
1.0
3.529 0.000 0.000
0.000 3.529 0.000
0.000 0.000 15.193
K Y Ir
2 2 2
direct
0.000 0.000 0.000
0.500 0.500 0.500
0.000 0.000 0.241
0.500 0.500 0.741
0.000 0.000 0.658
0.500 0.500 0.158
```

***

A geometry-optimized K2YIr structure. Source: Alexandria via LeMat-Bulk, functional GGA-PBE.

Results
Polymorph energy (0 for the lowest one) ... 495.2 meV per atom
Total energy ... -3.8713 eV/atom
DOS(E_F) ... 0.245 states/eV per atom

Structure (POSCAR):
```
K2YIr
1.0
7.560 0.000 0.000
0.000 7.560 0.000
0.000 0.000 7.560
K Y Ir
8 4 4
direct
0.000 0.000 0.000
0.000 0.500 0.500
0.250 0.250 0.250
0.250 0.750 0.750
0.500 0.000 0.500
0.500 0.500 0.000
0.750 0.250 0.750
0.750 0.750 0.250
0.250 0.250 0.750
0.250 0.750 0.250
0.750 0.250 0.250
0.750 0.750 0.750
0.000 0.000 0.500
0.000 0.500 0.000
0.500 0.000 0.000
0.500 0.500 0.500
```

***

A geometry-optimized K2YIr structure. Source: Alexandria via LeMat-Bulk, functional GGA-PBE.

Results
Polymorph energy (0 for the lowest one) ... 486.4 meV per atom
Total energy ... -3.8801 eV/atom
DOS(E_F) ... 0.645 states/eV per atom

Structure (POSCAR):
```
K2YIr
1.0
5.894 0.000 0.000
0.000 12.837 0.000
-2.905 0.000 3.058
K Y Ir
4 2 2
direct
0.250 0.250 0.000
0.250 0.750 0.000
0.750 0.250 0.000
0.750 0.750 0.000
0.000 0.000 0.500
0.500 0.500 0.500
0.000 0.500 0.500
0.500 0.000 0.500
```

***

A geometry-optimized K2YIr structure. Source: Alexandria via LeMat-Bulk, functional GGA-PBE.

Results
Polymorph energy (0 for the lowest one) ... 778.4 meV per atom
Total energy ... -3.5881 eV/atom
DOS(E_F) ... 0.737 states/eV per atom

Structure (POSCAR):
```
K2YIr
1.0
4.770 0.000 0.000
0.000 4.770 0.000
0.000 0.000 5.698
K Y Ir
2 1 1
direct
0.000 0.000 0.233
0.000 0.000 0.767
0.500 0.500 0.500
0.500 0.500 0.000
```

***

A geometry-optimized K3YIr structure. Source: Alexandria via LeMat-Bulk, functional GGA-PBE.

Results
Total energy ... -2.5588 eV/atom
DOS(E_F) ... 4.113 states/eV per atom

Structure (POSCAR):
```
K3YIr
1.0
6.125 0.000 0.000
0.000 6.125 0.000
0.000 0.000 6.125
K Y Ir
3 1 1
direct
0.000 0.000 0.500
0.000 0.500 0.000
0.500 0.000 0.000
0.500 0.500 0.500
0.000 0.000 0.000
```

***

A geometry-optimized K2YIr structure. Source: Alexandria via LeMat-Bulk, functional GGA-PBE.

Results
Polymorph energy (0 for the lowest one) ... 885.9 meV per atom
Total energy ... -3.4806 eV/atom
DOS(E_F) ... 1.395 states/eV per atom

Structure (POSCAR):
```
K2YIr
1.0
3.140 0.000 0.000
0.000 3.140 0.000
0.000 0.000 12.396
K Y Ir
2 1 1
direct
0.000 0.000 0.194
0.000 0.000 0.806
0.500 0.500 0.500
0.500 0.500 0.000
```

***

A geometry-optimized KYIr4 structure. Source: Alexandria via LeMat-Bulk, functional GGA-PBE.

Results
Total energy ... -7.3000 eV/atom
DOS(E_F) ... 1.060 states/eV per atom

Structure (POSCAR):
```
KYIr4
1.0
0.000 3.815 3.815
3.815 0.000 3.815
3.815 3.815 0.000
K Y Ir
1 1 4
direct
0.000 0.000 0.000
0.750 0.750 0.750
0.375 0.375 0.375
0.375 0.375 0.875
0.375 0.875 0.375
0.875 0.375 0.375
```

***

A geometry-optimized K2YIr structure. Source: Alexandria via LeMat-Bulk, functional GGA-PBE.

Results
Polymorph energy (0 for the lowest one) ... 903.4 meV per atom
Total energy ... -3.4631 eV/atom
DOS(E_F) ... 1.395 states/eV per atom

Structure (POSCAR):
```
K2YIr
1.0
3.437 0.000 0.000
0.000 5.363 0.000
0.000 0.000 12.619
K Y Ir
4 2 2
direct
0.000 0.000 0.203
0.000 0.000 0.797
0.500 0.500 0.203
0.500 0.500 0.797
0.000 0.500 0.500
0.500 0.000 0.500
0.000 0.500 0.000
0.500 0.000 0.000
```

***

A geometry-optimized K2YIr structure. Source: Alexandria via LeMat-Bulk, functional GGA-PBE.

Results
Polymorph energy (0 for the lowest one) ... 15.1 meV per atom
Total energy ... -4.3514 eV/atom
DOS(E_F) ... 0.586 states/eV per atom

Structure (POSCAR):
```
K2YIr
1.0
3.635 0.000 0.000
0.000 4.218 0.000
0.000 0.000 20.686
K Y Ir
4 2 2
direct
0.000 0.000 0.152
0.000 0.000 0.848
0.500 0.500 0.348
0.500 0.500 0.652
0.000 0.500 0.000
0.500 0.000 0.500
0.000 0.500 0.500
0.500 0.000 0.000
```

***

A geometry-optimized K2YIr structure. Source: Alexandria via LeMat-Bulk, functional GGA-PBE.

Results
Polymorph energy (0 for the lowest one) ... 473.0 meV per atom
Total energy ... -3.8935 eV/atom
DOS(E_F) ... 0.580 states/eV per atom

Structure (POSCAR):
```
K2YIr
1.0
5.850 0.000 0.000
0.000 6.278 0.000
0.000 0.000 6.343
K Y Ir
4 2 2
direct
0.000 0.227 0.000
0.000 0.773 0.000
0.500 0.273 0.000
0.500 0.727 0.000
0.000 0.500 0.500
0.500 0.000 0.500
0.000 0.000 0.500
0.500 0.500 0.500
```

***

A geometry-optimized K2YIr structure. Source: Alexandria via LeMat-Bulk, functional GGA-PBE.

Results
Polymorph energy (0 for the lowest one) ... 741.6 meV per atom
Total energy ... -3.6249 eV/atom
DOS(E_F) ... 0.968 states/eV per atom

Structure (POSCAR):
```
K2YIr
1.0
5.662 0.000 0.000
0.000 11.966 0.000
0.000 0.000 3.535
K Y Ir
4 2 2
direct
0.250 0.250 0.000
0.250 0.750 0.000
0.750 0.250 0.000
0.750 0.750 0.000
0.000 0.000 0.500
0.500 0.500 0.500
0.000 0.500 0.500
0.500 0.000 0.500
```

***

A geometry-optimized K4Y2Ir structure. Source: Alexandria via LeMat-Bulk, functional GGA-PBE.

Results
Total energy ... -2.6164 eV/atom
DOS(E_F) ... 1.281 states/eV per atom

Structure (POSCAR):
```
K4Y2Ir
1.0
6.384 0.000 0.000
0.000 6.384 0.000
0.000 0.000 17.801
K Y Ir
8 4 2
direct
0.000 0.000 0.175
0.000 0.000 0.825
0.000 0.500 0.000
0.000 0.500 0.500
0.500 0.000 0.000
0.500 0.000 0.500
0.500 0.500 0.325
0.500 0.500 0.675
0.000 0.000 0.408
0.000 0.000 0.592
0.500 0.500 0.092
0.500 0.500 0.908
0.000 0.000 0.000
0.500 0.500 0.500
```

***

A geometry-optimized KYIr structure. Source: Alexandria via LeMat-Bulk, functional GGA-PBE.

Results
Polymorph energy (0 for the lowest one) ... 191.7 meV per atom
Total energy ... -5.3378 eV/atom
DOS(E_F) ... 0.733 states/eV per atom

Structure (POSCAR):
```
KYIr
1.0
4.040 0.000 0.000
-2.020 3.498 0.000
0.000 0.000 7.528
K Y Ir
1 1 1
direct
0.000 0.000 0.000
0.667 0.333 0.521
0.333 0.667 0.698
```

***

A geometry-optimized KYIr structure. Source: Alexandria via LeMat-Bulk, functional GGA-PBE.

Results
Polymorph energy (0 for the lowest one) ... 339.9 meV per atom
Total energy ... -5.1896 eV/atom
DOS(E_F) ... 0.943 states/eV per atom

Structure (POSCAR):
```
KYIr
1.0
6.956 0.000 0.000
0.000 6.956 0.000
0.000 0.000 6.956
K Y Ir
4 4 4
direct
0.000 0.000 0.000
0.000 0.500 0.500
0.500 0.000 0.500
0.500 0.500 0.000
0.000 0.000 0.500
0.000 0.500 0.000
0.500 0.000 0.000
0.500 0.500 0.500
0.250 0.250 0.750
0.250 0.750 0.250
0.750 0.250 0.250
0.750 0.750 0.750
```

***

A geometry-optimized K4YIr structure. Source: Alexandria via LeMat-Bulk, functional GGA-PBE.

Results
Total energy ... -2.2072 eV/atom
DOS(E_F) ... 1.111 states/eV per atom

Structure (POSCAR):
```
K4YIr
1.0
0.000 4.761 4.761
4.761 0.000 4.761
4.761 4.761 0.000
K Y Ir
4 1 1
direct
0.378 0.378 0.378
0.378 0.378 0.865
0.378 0.865 0.378
0.865 0.378 0.378
0.000 0.000 0.000
0.750 0.750 0.750
```

***

A geometry-optimized K2YIr structure. Source: Alexandria via LeMat-Bulk, functional GGA-PBE.

Results
Polymorph energy (0 for the lowest one) ... 883.9 meV per atom
Total energy ... -3.4826 eV/atom
DOS(E_F) ... 1.435 states/eV per atom

Structure (POSCAR):
```
K2YIr
1.0
3.252 0.000 0.000
-1.626 2.816 0.000
0.000 0.000 37.883
K Y Ir
6 3 3
direct
0.000 0.000 0.235
0.000 0.000 0.765
0.333 0.667 0.432
0.333 0.667 0.901
0.667 0.333 0.099
0.667 0.333 0.568
0.000 0.000 0.000
0.333 0.667 0.667
0.667 0.333 0.333
0.000 0.000 0.500
0.333 0.667 0.167
0.667 0.333 0.833
```

***

A geometry-optimized K2YIr structure. Source: Alexandria via LeMat-Bulk, functional GGA-PBE.

Results
Polymorph energy (0 for the lowest one) ... 488.8 meV per atom
Total energy ... -3.8777 eV/atom
DOS(E_F) ... 0.621 states/eV per atom

Structure (POSCAR):
```
K2YIr
1.0
4.252 0.000 0.000
0.000 4.252 0.000
0.000 0.000 25.710
K Y Ir
8 4 4
direct
0.233 0.250 0.125
0.250 0.733 0.375
0.250 0.767 0.875
0.267 0.250 0.625
0.733 0.750 0.625
0.750 0.233 0.875
0.750 0.267 0.375
0.767 0.750 0.125
0.000 0.000 0.500
0.000 0.500 0.750
0.500 0.000 0.250
0.500 0.500 0.000
0.000 0.000 0.000
0.000 0.500 0.250
0.500 0.000 0.750
0.500 0.500 0.500
```

***

A geometry-optimized KY2Ir2 structure. Source: Alexandria via LeMat-Bulk, functional GGA-PBE.

Results
Total energy ... -6.6579 eV/atom
DOS(E_F) ... 0.610 states/eV per atom

Structure (POSCAR):
```
KY2Ir2
1.0
8.445 0.000 0.000
0.000 8.445 0.000
0.000 0.000 3.307
K Y Ir
2 4 4
direct
0.000 0.000 0.000
0.500 0.500 0.000
0.144 0.356 0.500
0.356 0.856 0.500
0.644 0.144 0.500
0.856 0.644 0.500
0.141 0.641 0.000
0.359 0.141 0.000
0.641 0.859 0.000
0.859 0.359 0.000
```

***

A geometry-optimized K2YIr structure. Source: Alexandria via LeMat-Bulk, functional GGA-PBE.

Results
Polymorph energy (0 for the lowest one) ... 1041.4 meV per atom
Total energy ... -3.3251 eV/atom
DOS(E_F) ... 0.600 states/eV per atom

Structure (POSCAR):
```
K2YIr
1.0
7.689 0.000 0.000
0.000 7.689 0.000
0.000 0.000 7.689
K Y Ir
8 4 4
direct
0.250 0.250 0.250
0.250 0.250 0.750
0.250 0.750 0.250
0.250 0.750 0.750
0.750 0.250 0.250
0.750 0.250 0.750
0.750 0.750 0.250
0.750 0.750 0.750
0.000 0.000 0.000
0.000 0.500 0.500
0.500 0.000 0.500
0.500 0.500 0.000
0.000 0.000 0.500
0.000 0.500 0.000
0.500 0.000 0.000
0.500 0.500 0.500
```

***

A geometry-optimized K2YIr structure. Source: Alexandria via LeMat-Bulk, functional GGA-PBE.

Results
Polymorph energy (0 for the lowest one) ... 241.6 meV per atom
Total energy ... -4.1249 eV/atom
DOS(E_F) ... 0.711 states/eV per atom

Structure (POSCAR):
```
K2YIr
1.0
3.819 0.000 0.000
0.000 6.152 0.000
0.000 0.000 13.522
K Y Ir
4 2 2
direct
0.000 0.000 0.000
0.000 0.500 0.170
0.500 0.000 0.670
0.500 0.500 0.500
0.000 0.500 0.836
0.500 0.000 0.336
0.000 0.000 0.465
0.500 0.500 0.965
```

***

A geometry-optimized KZnIr2 structure. Source: Alexandria via LeMat-Bulk, functional GGA-PBE.

Results
Total energy ... -4.5219 eV/atom
DOS(E_F) ... 1.359 states/eV per atom

Structure (POSCAR):
```
KZnIr2
1.0
2.725 0.000 0.000
0.000 4.439 0.000
-1.224 0.000 6.716
K Zn Ir
1 1 2
direct
0.000 0.000 0.000
0.500 0.000 0.500
0.313 0.500 0.666
0.687 0.500 0.334
```